# 1
## Li2CeO3 (meta-GGA SCAN)

Data for a PBEsol-optimized structure of Li2CeO3.

Values from the calculation:
The calculation puts the uncorrected formation energy at -2.864 eV per atom. The calculation puts the density of states at the Fermi level at 0.0 states/eV per cell. The space-group type is Cmmm (65).

Unit cell a=4.4610 b=9.4602 c=3.5205 alpha=90.00 beta=90.00 gamma=90.00
With the nearest neighbours (Å) after each atom.
Sites, in units of the cell vectors:
Li1 0.0000 0.1545 0.0000  1 O 1.90
Li2 0.0000 0.8455 0.0000  1 O 1.90
Li3 0.5000 0.3455 0.0000  1 O 1.90
Li4 0.5000 0.6545 0.0000  1 O 1.90
Ce1 0.0000 0.5000 0.5000  6 O 2.23
Ce2 0.5000 0.0000 0.5000  6 O 2.23
O1 0.0000 0.0000 0.5000  2 Ce 2.23, 4 Li 2.29
O2 0.0000 0.3555 0.0000  1 Li 1.90
O3 0.0000 0.6445 0.0000  1 Li 1.90
O4 0.5000 0.1445 0.0000  1 Li 1.90
O5 0.5000 0.5000 0.5000  2 Ce 2.23, 4 Li 2.29
O6 0.5000 0.8555 0.0000  1 Li 1.90


# 2
## Mg2CdCl (meta-GGA SCAN)

Data for a PBEsol-optimized structure of Mg2CdCl.

Values from the calculation:
The calculation puts the uncorrected formation energy at -0.508 eV per atom. The calculation puts the density of states at the Fermi level at 2.3 states/eV per cell. The space-group type is Amm2 (38).

Unit cell a=5.1589 b=3.1741 c=11.0106 alpha=90.00 beta=90.00 gamma=90.00
With the nearest neighbours (Å) after each atom.
Sites, in units of the cell vectors:
Mg1 0.0000 0.0000 0.0000  2 Cl 2.59
Mg2 0.0000 0.5000 0.5000  2 Cl 2.59
Mg3 0.5000 0.0000 0.2888  2 Cl 2.63
Mg4 0.5000 0.5000 0.7888  2 Cl 2.63
Cd1 0.0000 0.0000 0.7260  7 Mg 2.95-3.11, 2 Cd 3.17
Cd2 0.0000 0.5000 0.2260  7 Mg 2.95-3.11, 2 Cd 3.17
Cl1 0.5000 0.0000 0.9799  4 Mg 2.59-2.63
Cl2 0.5000 0.5000 0.4799  4 Mg 2.59-2.63


# 3
## Mg2CrCu (meta-GGA SCAN)

Data for a PBEsol-optimized structure of Mg2CrCu.

Values from the calculation:
The calculation puts the density of states at the Fermi level at 3.0 states/eV per cell. The space-group type is I-4m2 (119). The calculated formation energy is 0.099 eV/atom.

Unit cell a=4.0782 b=4.0782 c=7.8431 alpha=90.00 beta=90.00 gamma=90.00
With the nearest neighbours (Å) after each atom.
Sites, in units of the cell vectors:
Mg1 0.0000 0.0000 0.0000  4 Mg 2.83, 4 Cu 2.83, 4 Cr 2.88
Mg2 0.0000 0.5000 0.2500  4 Cr 2.83, 4 Mg 2.83, 4 Cu 2.88
Mg3 0.5000 0.0000 0.7500  4 Cr 2.83, 4 Mg 2.83, 4 Cu 2.88
Mg4 0.5000 0.5000 0.5000  4 Mg 2.83, 4 Cu 2.83, 4 Cr 2.88
Cr1 0.0000 0.0000 0.5000  8 Mg 2.83-2.88, 4 Cu 2.83
Cr2 0.5000 0.5000 0.0000  8 Mg 2.83-2.88, 4 Cu 2.83
Cu1 0.0000 0.5000 0.7500  4 Cr 2.83, 8 Mg 2.83-2.88
Cu2 0.5000 0.0000 0.2500  4 Cr 2.83, 8 Mg 2.83-2.88


# 4
## CuRu2Br (meta-GGA SCAN)

Data for a PBEsol-optimized structure of CuRu2Br.

Values from the calculation:
The calculation puts the uncorrected formation energy at 0.851 eV per atom. The calculation puts the density of states at the Fermi level at 11.9 states/eV per cell. The space-group type is R-3m (166).

Unit cell a=2.8639 b=2.8639 c=24.0026 alpha=90.00 beta=90.00 gamma=120.00
With the nearest neighbours (Å) after each atom.
Sites, in units of the cell vectors:
Cu1 0.0000 0.0000 0.0000  6 Ru 2.58, 6 Cu 2.86
Cu2 0.3333 0.6667 0.6667  6 Ru 2.58, 6 Cu 2.86
Cu3 0.6667 0.3333 0.3333  6 Ru 2.58, 6 Cu 2.86
Ru1 0.0000 0.0000 0.2510  3 Cu 2.58, 3 Br 2.61, 6 Ru 2.86
Ru2 0.0000 0.0000 0.7490  3 Cu 2.58, 3 Br 2.61, 6 Ru 2.86
Ru3 0.3333 0.6667 0.4157  3 Cu 2.58, 3 Br 2.61, 6 Ru 2.86
Ru4 0.3333 0.6667 0.9176  3 Cu 2.58, 3 Br 2.61, 6 Ru 2.86
Ru5 0.6667 0.3333 0.0824  3 Cu 2.58, 3 Br 2.61, 6 Ru 2.86
Ru6 0.6667 0.3333 0.5843  3 Cu 2.58, 3 Br 2.61, 6 Ru 2.86
Br1 0.0000 0.0000 0.5000  6 Ru 2.61, 6 Br 2.86
Br2 0.3333 0.6667 0.1667  6 Ru 2.61, 6 Br 2.86
Br3 0.6667 0.3333 0.8333  6 Ru 2.61, 6 Br 2.86


# 5
## Hf3InFe (meta-GGA SCAN)

Data for a PBEsol-optimized structure of Hf3InFe.

Values from the calculation:
The calculation puts the density of states at the Fermi level at 12.0 states/eV per cell. The space-group type is Pm-3m (221). The calculated formation energy is 1.598 eV/atom.

Unit cell a=5.1117 b=5.1117 c=5.1117 alpha=90.00 beta=90.00 gamma=90.00
With the nearest neighbours (Å) after each atom.
Sites, in units of the cell vectors:
Hf1 0.0000 0.0000 0.5000  2 In 2.56
Hf2 0.0000 0.5000 0.0000  2 In 2.56
Hf3 0.5000 0.0000 0.0000  2 In 2.56
In1 0.0000 0.0000 0.0000  6 Hf 2.56
Fe1 0.5000 0.5000 0.5000  12 Hf 3.61


# 6
## AlTc5 (meta-GGA SCAN)

Data for a PBEsol-optimized structure of AlTc5.

Values from the calculation:
The calculation puts the density of states at the Fermi level at 9.8 states/eV per cell. The space-group type is Amm2 (38). The calculated formation energy is -0.150 eV/atom.

Unit cell a=4.3666 b=2.7679 c=13.8673 alpha=90.00 beta=90.00 gamma=90.00
With the nearest neighbours (Å) after each atom.
Sites, in units of the cell vectors:
Al1 0.0000 0.0000 0.0000  10 Tc 2.67-2.75, 2 Al 2.77
Al2 0.0000 0.5000 0.5000  10 Tc 2.67-2.75, 2 Al 2.77
Tc1 0.0000 0.0000 0.3282  10 Tc 2.64-2.77, 2 Al 2.75
Tc2 0.0000 0.0000 0.6643  10 Tc 2.66-2.77, 2 Al 2.67
Tc3 0.0000 0.5000 0.1643  10 Tc 2.66-2.77, 2 Al 2.67
Tc4 0.0000 0.5000 0.8282  10 Tc 2.64-2.77, 2 Al 2.75
Tc5 0.5000 0.0000 0.2212  12 Tc 2.64-2.77
Tc6 0.5000 0.0000 0.5523  8 Tc 2.68-2.77, 4 Al 2.68
Tc7 0.5000 0.0000 0.8871  10 Tc 2.68-2.77, 2 Al 2.69
Tc8 0.5000 0.5000 0.0523  8 Tc 2.68-2.77, 4 Al 2.68
Tc9 0.5000 0.5000 0.3871  10 Tc 2.68-2.77, 2 Al 2.69
Tc10 0.5000 0.5000 0.7212  12 Tc 2.64-2.77


# 7
## Al2ZnCd (meta-GGA SCAN)

Data for a PBEsol-optimized structure of Al2ZnCd.

Values from the calculation:
The calculation puts the density of states at the Fermi level at 2.5 states/eV per cell. The space-group type is C2/m (12). The calculated formation energy is 0.078 eV/atom.

Unit cell a=9.2393 b=3.0084 c=4.9981 alpha=90.00 beta=99.97 gamma=90.00
With the nearest neighbours (Å) after each atom.
Sites, in units of the cell vectors:
Al1 0.2449 0.0000 0.2349  3 Zn 2.80-2.81, 6 Al 2.80-3.03, 3 Cd 2.81-2.91
Al2 0.2551 0.5000 0.7651  3 Zn 2.80-2.81, 6 Al 2.80-3.03, 3 Cd 2.81-2.91
Al3 0.7449 0.5000 0.2349  3 Zn 2.80-2.81, 6 Al 2.80-3.03, 3 Cd 2.81-2.91
Al4 0.7551 0.0000 0.7651  3 Zn 2.80-2.81, 6 Al 2.80-3.03, 3 Cd 2.81-2.91
Zn1 0.0000 0.5000 0.0000  6 Al 2.80-2.81, 4 Cd 2.92, 2 Zn 3.01
Zn2 0.5000 0.0000 0.0000  6 Al 2.80-2.81, 4 Cd 2.92, 2 Zn 3.01
Cd1 0.0000 0.0000 0.5000  6 Al 2.81-2.91, 4 Zn 2.92, 2 Cd 3.01
Cd2 0.5000 0.5000 0.5000  6 Al 2.81-2.91, 4 Zn 2.92, 2 Cd 3.01


# 8
## Tl4AgSe (meta-GGA SCAN)

Data for a PBEsol-optimized structure of Tl4AgSe.

Values from the calculation:
The calculation puts the uncorrected formation energy at 0.285 eV per atom. The calculation puts the density of states at the Fermi level at 2.9 states/eV per cell. The space-group type is F-43m (216).

Unit cell a=6.1613 b=6.1613 c=6.1613 alpha=60.00 beta=60.00 gamma=60.00
With the nearest neighbours (Å) after each atom.
Sites, in units of the cell vectors:
Tl1 0.1251 0.1251 0.1251  6 Tl 3.08
Tl2 0.1251 0.1251 0.6246  6 Tl 3.08
Tl3 0.1251 0.6246 0.1251  6 Tl 3.08
Tl4 0.6246 0.1251 0.1251  6 Tl 3.08
Ag1 0.7500 0.7500 0.7500  12 Tl 3.61, 4 Se 3.77
Se1 0.5000 0.5000 0.5000  12 Tl 3.61, 4 Ag 3.77


# 9
## Ca2OsAu (meta-GGA SCAN)

Data for a PBEsol-optimized structure of Ca2OsAu.

Values from the calculation:
The calculation puts the density of states at the Fermi level at 2.2 states/eV per cell. The space-group type is P4/mmm (123). The calculated formation energy is -0.007 eV/atom.

Unit cell a=5.2814 b=5.2814 c=2.9335 alpha=90.00 beta=90.00 gamma=90.00
With the nearest neighbours (Å) after each atom.
Sites, in units of the cell vectors:
Ca1 0.0000 0.5000 0.0000  2 Ca 2.93, 4 Os 3.02, 4 Au 3.02
Ca2 0.5000 0.0000 0.0000  2 Ca 2.93, 4 Os 3.02, 4 Au 3.02
Os1 0.0000 0.0000 0.5000  2 Os 2.93, 8 Ca 3.02
Au1 0.5000 0.5000 0.5000  2 Au 2.93, 8 Ca 3.02


# 10
## Er3Co2Ge4 (meta-GGA SCAN)

Data for a PBEsol-optimized structure of Er3Co2Ge4.

Values from the calculation:
The calculation puts the density of states at the Fermi level at 4.8 states/eV per cell. The space-group type is C2/m (12). The calculated formation energy is -0.752 eV/atom.

Unit cell a=5.5804 b=5.5804 c=7.8397 alpha=106.26 beta=106.26 gamma=42.85
With the nearest neighbours (Å) after each atom.
Sites, in units of the cell vectors:
Er1 0.0000 0.0000 0.0000  6 Ge 2.90-2.98
Er2 0.3761 0.3761 0.3072  3 Co 2.80-2.94, 7 Ge 2.90-3.02
Er3 0.6239 0.6239 0.6928  3 Co 2.80-2.94, 7 Ge 2.90-3.02
Co1 0.3077 0.3077 0.6263  4 Ge 2.31-2.38
Co2 0.6923 0.6923 0.3737  4 Ge 2.31-2.38
Ge1 0.0952 0.0952 0.3990  3 Co 2.31-2.38
Ge2 0.2914 0.2914 0.9194  1 Co 2.35
Ge3 0.7086 0.7086 0.0806  1 Co 2.35
Ge4 0.9048 0.9048 0.6010  3 Co 2.31-2.38


# 11
## In4Ag9 (meta-GGA SCAN)

Data for a PBEsol-optimized structure of In4Ag9.

Values from the calculation:
The calculation puts the density of states at the Fermi level at 9.4 states/eV per cell. The space-group type is P-43m (215). The calculated formation energy is -0.033 eV/atom.

Unit cell a=9.8013 b=9.8013 c=9.8013 alpha=90.00 beta=90.00 gamma=90.00
With the nearest neighbours (Å) after each atom.
Sites, in units of the cell vectors:
In1 0.0345 0.3096 0.3096  10 Ag 2.78-3.09
In2 0.0345 0.6904 0.6904  10 Ag 2.78-3.09
In3 0.3096 0.0345 0.3096  10 Ag 2.78-3.09
In4 0.3096 0.3096 0.0345  10 Ag 2.78-3.09
In5 0.3096 0.6904 0.9655  10 Ag 2.78-3.09
In6 0.3096 0.9655 0.6904  10 Ag 2.78-3.09
In7 0.3773 0.3773 0.6227  9 Ag 2.84-2.95
In8 0.3773 0.6227 0.3773  9 Ag 2.84-2.95
In9 0.6227 0.3773 0.3773  9 Ag 2.84-2.95
In10 0.6227 0.6227 0.6227  9 Ag 2.84-2.95
In11 0.6904 0.0345 0.6904  10 Ag 2.78-3.09
In12 0.6904 0.3096 0.9655  10 Ag 2.78-3.09
In13 0.6904 0.6904 0.0345  10 Ag 2.78-3.09
In14 0.6904 0.9655 0.3096  10 Ag 2.78-3.09
In15 0.9655 0.3096 0.6904  10 Ag 2.78-3.09
In16 0.9655 0.6904 0.3096  10 Ag 2.78-3.09
Ag1 0.0000 0.0000 0.3566  9 Ag 2.77-3.05, 4 In 3.09
Ag2 0.0000 0.0000 0.6434  9 Ag 2.77-3.05, 4 In 3.09
Ag3 0.0000 0.3566 0.0000  9 Ag 2.77-3.05, 4 In 3.09
Ag4 0.0000 0.6434 0.0000  9 Ag 2.77-3.05, 4 In 3.09
Ag5 0.1051 0.1051 0.1051  9 Ag 2.86-2.91, 3 In 2.92
Ag6 0.1051 0.8949 0.8949  9 Ag 2.86-2.91, 3 In 2.92
Ag7 0.1430 0.5000 0.5000  3 Ag 2.80-2.99, 4 In 2.84-2.86
Ag8 0.1745 0.1745 0.8255  3 In 2.78, 9 Ag 2.90-3.01
Ag9 0.1745 0.8255 0.1745  3 In 2.78, 9 Ag 2.90-3.01
Ag10 0.1830 0.1830 0.5301  4 Ag 2.77-3.05, 5 In 2.84-2.92
Ag11 0.1830 0.4699 0.8170  4 Ag 2.77-3.05, 5 In 2.84-2.92
Ag12 0.1830 0.5301 0.1830  4 Ag 2.77-3.05, 5 In 2.84-2.92
Ag13 0.1830 0.8170 0.4699  4 Ag 2.77-3.05, 5 In 2.84-2.92
Ag14 0.3298 0.3298 0.3298  6 Ag 2.83-2.99, 6 In 2.91-2.95
Ag15 0.3298 0.6702 0.6702  6 Ag 2.83-2.99, 6 In 2.91-2.95
Ag16 0.3566 0.0000 0.0000  9 Ag 2.77-3.05, 4 In 3.09
Ag17 0.4699 0.1830 0.8170  4 Ag 2.77-3.05, 5 In 2.84-2.92
Ag18 0.4699 0.8170 0.1830  4 Ag 2.77-3.05, 5 In 2.84-2.92
Ag19 0.5000 0.1430 0.5000  3 Ag 2.80-2.99, 4 In 2.84-2.86
Ag20 0.5000 0.5000 0.1430  3 Ag 2.80-2.99, 4 In 2.84-2.86
Ag21 0.5000 0.5000 0.8570  3 Ag 2.80-2.99, 4 In 2.84-2.86
Ag22 0.5000 0.8570 0.5000  3 Ag 2.80-2.99, 4 In 2.84-2.86
Ag23 0.5301 0.1830 0.1830  4 Ag 2.77-3.05, 5 In 2.84-2.92
Ag24 0.5301 0.8170 0.8170  4 Ag 2.77-3.05, 5 In 2.84-2.92
Ag25 0.6434 0.0000 0.0000  9 Ag 2.77-3.05, 4 In 3.09
Ag26 0.6702 0.3298 0.6702  6 Ag 2.83-2.99, 6 In 2.91-2.95
Ag27 0.6702 0.6702 0.3298  6 Ag 2.83-2.99, 6 In 2.91-2.95
Ag28 0.8170 0.1830 0.4699  4 Ag 2.77-3.05, 5 In 2.84-2.92
Ag29 0.8170 0.4699 0.1830  4 Ag 2.77-3.05, 5 In 2.84-2.92
Ag30 0.8170 0.5301 0.8170  4 Ag 2.77-3.05, 5 In 2.84-2.92
Ag31 0.8170 0.8170 0.5301  4 Ag 2.77-3.05, 5 In 2.84-2.92
Ag32 0.8255 0.1745 0.1745  3 In 2.78, 9 Ag 2.90-3.01
Ag33 0.8255 0.8255 0.8255  3 In 2.78, 9 Ag 2.90-3.01
Ag34 0.8570 0.5000 0.5000  3 Ag 2.80-2.99, 4 In 2.84-2.86
Ag35 0.8949 0.1051 0.8949  9 Ag 2.86-2.91, 3 In 2.92
Ag36 0.8949 0.8949 0.1051  9 Ag 2.86-2.91, 3 In 2.92


# 12
## TlSiPb2 (meta-GGA SCAN)

Data for a PBEsol-optimized structure of TlSiPb2.

Values from the calculation:
The calculation puts the uncorrected formation energy at 0.415 eV per atom. The calculation puts the density of states at the Fermi level at 2.1 states/eV per cell. The space-group type is P4/mmm (123).

Unit cell a=4.9232 b=4.9232 c=4.2769 alpha=90.00 beta=90.00 gamma=90.00
With the nearest neighbours (Å) after each atom.
Sites, in units of the cell vectors:
Tl1 0.0000 0.0000 0.0000  8 Pb 3.26, 4 Si 3.48
Si1 0.5000 0.5000 0.0000  8 Pb 3.26, 4 Tl 3.48
Pb1 0.0000 0.5000 0.5000  4 Tl 3.26, 4 Si 3.26, 4 Pb 3.48
Pb2 0.5000 0.0000 0.5000  4 Tl 3.26, 4 Si 3.26, 4 Pb 3.48


# 13
## CaTlCd2 (meta-GGA SCAN)

Data for a PBEsol-optimized structure of CaTlCd2.

Values from the calculation:
The calculation puts the density of states at the Fermi level at 2.2 states/eV per cell. The space-group type is P4/mmm (123). The calculated formation energy is -0.285 eV/atom.

Unit cell a=4.5463 b=4.5463 c=4.7111 alpha=90.00 beta=90.00 gamma=90.00
With the nearest neighbours (Å) after each atom.
Sites, in units of the cell vectors:
Ca1 0.0000 0.0000 0.0000  4 Tl 3.21, 8 Cd 3.27
Tl1 0.5000 0.5000 0.0000  4 Ca 3.21, 8 Cd 3.27
Cd1 0.0000 0.5000 0.5000  4 Cd 3.21, 4 Tl 3.27, 4 Ca 3.27
Cd2 0.5000 0.0000 0.5000  4 Cd 3.21, 4 Tl 3.27, 4 Ca 3.27